Entry from OQMD: CsRePb after structural relaxation (PBE-GGA).

For the spin magnetization, the calculation gives 0.12 Bohr magnetons per cell. As for the raw total energy: -47.23 eV per cell.

The space group is F-43m (No. 216) and the conventional cell measures 7.036, 7.036 and 7.036 Å, with angles of 90.00, 90.00 and 90.00 degrees. The inequivalent atoms are Cs at (0.000, 0.000, 0.000), Re at (0.250, 0.250, 0.250) and Pb at (0.000, 0.000, 0.500).

Entry from OQMD: LiTe4MoAu3 after structural relaxation (PBE-GGA).

For the spin magnetization, the calculation gives 2.00 Bohr magnetons per cell. As for the raw total energy: -35.79 eV per cell.

The space group is P-43m (No. 215) and the conventional cell measures 6.413, 6.413 and 6.413 Å, with angles of 90.00, 90.00 and 90.00 degrees. The inequivalent atoms are Li at (0.000, 0.000, 0.000), Te at (0.256, 0.256, 0.256), Mo at (0.500, 0.500, 0.500) and Au at (0.000, 0.500, 0.500).

Entry from OQMD: Pr3Mg3Zn2Pd after structural relaxation (PBE-GGA).

For the spin magnetization, the calculation gives 0.07 Bohr magnetons per cell. As for the raw total energy: -30.03 eV per cell.

The space group is P-62m (No. 189) and the conventional cell measures 7.7826, 7.7826 and 4.1771 Å, with angles of 90.00, 90.00 and 120.00 degrees. The inequivalent atoms are Pr at (0.0000, 0.5878, 0.0000), Mg at (0.0000, 0.2349, 0.5000), Zn at (0.3333, 0.6667, 0.5000) and Pd at (0.0000, 0.0000, 0.0000).

Entry from OQMD: BaTmRe after structural relaxation (PBE-GGA).

For the spin magnetization, the calculation gives 2.49 Bohr magnetons per cell. As for the raw total energy: -57.64 eV per cell.

The space group is F-43m (No. 216) and the conventional cell measures 7.065, 7.065 and 7.065 Å, with angles of 90.00, 90.00 and 90.00 degrees. The inequivalent atoms are Ba at (0.000, 0.000, 0.000), Tm at (0.250, 0.250, 0.250) and Re at (0.000, 0.000, 0.500).

Entry from OQMD: AcZrFe after structural relaxation (PBE-GGA).

For the spin magnetization, the calculation gives 0.00 Bohr magnetons per cell. The calculation puts the energy of formation from the pure elements at 412 meV/atom.

The space group is F-43m (No. 216) and the conventional cell measures 6.686, 6.686 and 6.686 Å, with angles of 90.00, 90.00 and 90.00 degrees. The inequivalent atoms are Ac at (0.000, 0.000, 0.000), Zr at (0.000, 0.000, 0.500) and Fe at (0.250, 0.250, 0.750).

Entry from OQMD: TbNd2Tl3 after structural relaxation (PBE-GGA).

For the spin magnetization, the calculation gives 0.04 Bohr magnetons per cell. As for the raw total energy: -23.53 eV per cell.

The space group is P4/mmm (No. 123) and the conventional cell measures 3.828, 3.828 and 11.762 Å, with angles of 90.00, 90.00 and 90.00 degrees. The inequivalent atoms are Tb at (0.000, 0.000, 0.000), Nd at (0.000, 0.000, 0.329), Tl at (0.500, 0.500, 0.158) and Tl at (0.500, 0.500, 0.500).

Entry from OQMD: NaSrPd4 after structural relaxation (PBE-GGA).

As for the raw total energy: -105.98 eV per cell.

The space group is F-43m (No. 216) and the conventional cell measures 7.762, 7.762 and 7.762 Å, with angles of 90.00, 90.00 and 90.00 degrees. The inequivalent atoms are Na at (0.000, 0.000, 0.000), Sr at (0.250, 0.250, 0.750) and Pd at (0.125, 0.125, 0.375).

Entry from OQMD: PrNi9Ge4 after structural relaxation (PBE-GGA).

For the spin magnetization, the calculation gives 0.03 Bohr magnetons per cell. As for the raw total energy: -316.73 eV per cell.

The space group is I4/mcm (No. 140) and the conventional cell measures 7.987, 7.987 and 11.789 Å, with angles of 90.00, 90.00 and 90.00 degrees. The inequivalent atoms are Pr at (0.000, 0.000, 0.250), Ni at (0.000, 0.500, 0.000), Ni at (0.067, 0.204, 0.000), Ni at (0.125, 0.375, 0.181) and Ge at (0.173, 0.327, 0.378).

Entry from OQMD: AcAsPtO after structural relaxation (PBE-GGA).

For the spin magnetization, the calculation gives 0.13 Bohr magnetons per cell. As for the raw total energy: -49.39 eV per cell.

The space group is P4/nmm (No. 129, origin choice 2) and the conventional cell measures 6.567, 6.567 and 4.575 Å, with angles of 90.00, 90.00 and 90.00 degrees. The inequivalent atoms are Ac at (0.250, 0.750, 0.000), As at (0.250, 0.250, 0.484), Pt at (0.250, 0.250, 0.984) and O at (0.250, 0.750, 0.500).

Entry from OQMD: SmS2 after structural relaxation (PBE-GGA).

For the spin magnetization, the calculation gives 2.50 Bohr magnetons per cell. As for the raw total energy: -107.78 eV per cell.

The space group is Fd-3m (No. 227, origin choice 2) and the conventional cell measures 7.847, 7.847 and 7.847 Å, with angles of 90.00, 90.00 and 90.00 degrees. The inequivalent atoms are Sm at (0.125, 0.125, 0.125) and S at (0.000, 0.000, 0.500).

Entry from OQMD: ThBeSn after structural relaxation (PBE-GGA).

For the spin magnetization, the calculation gives 0.01 Bohr magnetons per cell. As for the raw total energy: -61.76 eV per cell.

The space group is F-43m (No. 216) and the conventional cell measures 6.532, 6.532 and 6.532 Å, with angles of 90.00, 90.00 and 90.00 degrees. The inequivalent atoms are Th at (0.000, 0.000, 0.000), Be at (0.250, 0.250, 0.750) and Sn at (0.000, 0.000, 0.500).

Entry from OQMD: ErUGa after structural relaxation (PBE-GGA).

For the spin magnetization, the calculation gives 13.63 Bohr magnetons per cell. As for the raw total energy: -70.94 eV per cell.

The space group is F-43m (No. 216) and the conventional cell measures 6.943, 6.943 and 6.943 Å, with angles of 90.00, 90.00 and 90.00 degrees. The inequivalent atoms are Er at (0.000, 0.000, 0.000), U at (0.000, 0.000, 0.500) and Ga at (0.250, 0.250, 0.250).

Question: Number 10 is which compound?
Answer: SmS2